(1)
Compound: UTaCuO6
Source: Alexandria
Functional: PBE-GGA
Structure: relaxed

## Properties
Total DFT energy (no corrections) = -8.7270 eV per atom
Raw formation energy = -231.1 kJ/mol of atoms

a = 5.5008 Å, b = 5.5008 Å, c = 9.0979 Å
α = 90.00°, β = 90.00°, γ = 120.00°
Space group P-31c (No. 163)
Asymmetric unit:
U 0.3333 0.6667 0.2500
Ta 0.3333 0.6667 0.7500
Cu 0.0000 0.0000 0.0000
O 0.0132 0.3645 0.6344

(2)
Compound: U6TcRu2
Source: Alexandria
Functional: PBE-GGA
Structure: relaxed

## Properties
Total DFT energy (no corrections) = -10.6153 eV per atom
Calculated formation energy = 0.123 eV/atom

a = 11.772 Å, b = 5.751 Å, c = 5.223 Å
α = 90.00°, β = 102.16°, γ = 90.00°
Space group C2/m (No. 12)
Asymmetric unit:
U 0.120 0.225 0.072
U 0.218 0.000 0.584
Tc 0.000 0.000 0.500
Ru 0.100 0.500 0.660

(3)
Compound: Ac4LaSn5
Source: Alexandria
Functional: PBE-GGA
Structure: relaxed

## Properties
Total DFT energy (no corrections) = -4.7763 eV per atom
Calculated formation energy = -0.639 eV/atom

a = 3.793 Å, b = 3.793 Å, c = 23.039 Å
α = 90.00°, β = 90.00°, γ = 90.00°
Space group P4/mmm (No. 123)
Asymmetric unit:
Ac 0.000 0.000 0.101
Ac 0.000 0.000 0.303
La 0.000 0.000 0.500
Sn 0.500 0.500 0.000
Sn 0.500 0.500 0.202
Sn 0.500 0.500 0.404

(4)
Compound: Na4Np3RuN8
Source: Alexandria
Functional: PBE-GGA
Structure: relaxed

## Properties
Total DFT energy (no corrections) = -8.0998 eV per atom
Raw formation energy = -58.0 kJ/mol of atoms

a = 6.6780 Å, b = 6.6780 Å, c = 17.0024 Å
α = 90.00°, β = 90.00°, γ = 120.00°
Space group R-3m (No. 166, hexagonal axes)
Asymmetric unit:
Na 0.0000 0.0000 0.0000
Na 0.0000 0.5000 0.0000
Np 0.0000 0.5000 0.5000
Ru 0.0000 0.0000 0.5000
N 0.0000 0.0000 0.2292
N 0.0103 0.5052 0.7706

(5)
Compound: Ga2IrPd
Source: Alexandria
Functional: PBE-GGA
Structure: relaxed

## Properties
Total DFT energy (no corrections) = -5.4596 eV per atom
Calculated formation energy = -0.433 eV/atom

a = 4.141 Å, b = 4.141 Å, c = 3.422 Å
α = 90.00°, β = 90.00°, γ = 90.00°
Space group P4/mmm (No. 123)
Asymmetric unit:
Ga 0.000 0.500 0.000
Ir 0.000 0.000 0.500
Pd 0.500 0.500 0.500

(6)
Compound: BeBi3Pd
Source: Alexandria
Functional: PBE-GGA
Structure: relaxed

## Properties
ΔE to the lowest computed polymorph = 267.1 meV/atom
Total DFT energy (no corrections) = -3.3158 eV per atom
Calculated formation energy = 0.797 eV/atom

a = 5.373 Å, b = 5.373 Å, c = 5.373 Å
α = 90.00°, β = 90.00°, γ = 90.00°
Space group Pm-3m (No. 221)
Asymmetric unit:
Be 0.000 0.000 0.000
Bi 0.000 0.500 0.500
Pd 0.500 0.500 0.500